VASP calculation (PBE) on a relaxed In6IBr3Cl2 crystal.

```
12
Lattice="-0.312 4.480 1.429 1.062 -2.786 8.964 9.779 -0.565 -3.861" Properties=species:S:1:pos:R:3 pbc="T T T"
In 7.255 -1.433 6.077
In 3.724 1.206 4.804
In 3.274 2.562 0.455
In 0.388 -0.723 2.351
In 10.142 1.851 4.182
In 6.806 -0.077 1.728
I -0.156 2.240 0.715
Br 0.375 0.847 5.196
Br 6.575 2.875 0.193
Br 3.954 -1.747 6.339
Cl 6.849 1.449 4.724
Cl 3.680 -0.320 1.808
```

Output
The value obtained for the uncorrected formation energy is -7.9 eV per formula unit. As for the crystal system: monoclinic.